Record 1
{"formula": "LaPrDy5Er2", "functional": "GGA-PBE", "state": "optimized geometry", "sg": "Cmc2_1 (36)", "magnetic_moment_mub_per_atom": 0.000, "energy_ev_per_atom": -4.49, "mass_density_g_cm3": 7.93, "lattice_angstrom": [[2.8090, -9.8430, 0.0000], [2.8090, 9.8430, 0.0000], [0.0000, 0.0000, 10.8016]], "species": ["La", "La", "Pr", "Pr", "Dy", "Dy", "Dy", "Dy", "Dy", "Dy", "Dy", "Dy", "Dy", "Dy", "Er", "Er", "Er", "Er"], "frac_coords": [[0.2074, 0.7926, 0.5000], [0.7926, 0.2074, 0.0000], [0.4181, 0.5819, 0.9451], [0.5819, 0.4181, 0.4451], [0.0182, 0.9818, 0.5235], [0.2844, 0.7156, 0.7959], [0.2964, 0.7036, 0.1980], [0.3946, 0.6054, 0.5190], [0.4766, 0.5234, 0.2300], [0.5234, 0.4766, 0.7300], [0.6054, 0.3946, 0.0190], [0.7036, 0.2964, 0.6980], [0.7156, 0.2844, 0.2959], [0.9818, 0.0182, 0.0235], [0.1073, 0.8927, 0.2305], [0.1150, 0.8850, 0.8147], [0.8850, 0.1150, 0.3147], [0.8927, 0.1073, 0.7305]]}

Record 2
{"formula": "Al2TcGeSb", "functional": "GGA-PBE", "state": "optimized geometry", "raw_formation_energy_ev_per_fu": 6.68, "sg": "P4/mmm (123)", "magnetic_moment_mub_per_atom": 0.365, "mass_density_g_cm3": 4.23, "lattice_angstrom": [[5.1967, 0.0000, 0.0000], [0.0000, 5.1967, 0.0000], [0.0000, 0.0000, 5.0397]], "species": ["Al", "Al", "Tc", "Ge", "Sb"], "frac_coords": [[0.0000, 0.5000, 0.0000], [0.5000, 0.0000, 0.0000], [0.0000, 0.0000, 0.5000], [0.5000, 0.5000, 0.5000], [0.0000, 0.0000, 0.0000]]}

Record 3
{"formula": "ScCoRu2", "functional": "GGA-PBE", "state": "optimized geometry", "sg": "C2/m (12)", "e_above_lowest_polymorph_ev_per_atom": 0.0387, "magnetic_moment_mub_per_atom": 0.190, "mass_density_g_cm3": 8.74, "lattice_angstrom": [[4.5192, -1.4262, 0.0000], [4.5192, 1.4262, 0.0000], [-1.0856, 0.0000, 4.5120]], "species": ["Sc", "Co", "Ru", "Ru"], "frac_coords": [[0.0000, 0.0000, 0.0000], [0.5000, 0.5000, 0.5000], [0.2302, 0.2302, 0.7201], [0.7698, 0.7698, 0.2799]]}

Record 4
{"formula": "YI3", "functional": "GGA-PBE", "state": "optimized geometry", "raw_formation_energy_ev_per_fu": -4.79, "sg": "I-42d (122)", "magnetic_moment_mub_per_atom": 0.000, "mass_density_g_cm3": 4.32, "lattice_angstrom": [[-5.4292, 5.4292, 3.0619], [5.4292, -5.4292, 3.0619], [5.4292, 5.4292, -3.0619]], "species": ["Y", "Y", "I", "I", "I", "I", "I", "I"], "frac_coords": [[0.0000, 0.0000, 0.0000], [0.7500, 0.2500, 0.5000], [0.2500, 0.7500, 0.5000], [0.3750, 0.2391, 0.3641], [0.5000, 0.5000, 0.0000], [0.7609, 0.1250, 0.1359], [0.8750, 0.0109, 0.6359], [0.9891, 0.6250, 0.8641]]}

Record 5
{"formula": "Ac6Ru2CCl3", "functional": "GGA-PBE", "state": "optimized geometry", "raw_formation_energy_ev_per_fu": -10.61, "sg": "C2/m (12)", "magnetic_moment_mub_per_atom": 0.000, "mass_density_g_cm3": 7.63, "lattice_angstrom": [[3.6597, -6.3342, 0.0000], [3.6597, 6.3342, 0.0000], [-2.4593, 0.0000, 7.8955]], "species": ["Ac", "Ac", "Ac", "Ac", "Ac", "Ac", "Ru", "Ru", "C", "Cl", "Cl", "Cl"], "frac_coords": [[0.0648, 0.3841, 0.1963], [0.2541, 0.2541, 0.8048], [0.3841, 0.0648, 0.1963], [0.6159, 0.9352, 0.8037], [0.7459, 0.7459, 0.1952], [0.9352, 0.6159, 0.8037], [0.3327, 0.6673, 0.0000], [0.6673, 0.3327, 0.0000], [0.0000, 0.0000, 0.0000], [0.1655, 0.8345, 0.5000], [0.5000, 0.5000, 0.5000], [0.8345, 0.1655, 0.5000]]}

Record 6
{"formula": "MgSiO3", "functional": "GGA-PBE", "state": "optimized geometry", "raw_formation_energy_ev_per_fu": -13.01, "sg": "Pnma (62)", "magnetic_moment_mub_per_atom": 0.000, "mass_density_g_cm3": 3.97, "lattice_angstrom": [[4.9835, 0.0000, 0.0000], [0.0000, 6.9714, 0.0000], [0.0000, 0.0000, 4.8327]], "species": ["Mg", "Mg", "Mg", "Mg", "Si", "Si", "Si", "Si", "O", "O", "O", "O", "O", "O", "O", "O", "O", "O", "O", "O"], "frac_coords": [[0.0560, 0.2500, 0.0148], [0.4440, 0.7500, 0.5148], [0.5560, 0.2500, 0.4852], [0.9440, 0.7500, 0.9852], [0.0000, 0.0000, 0.5000], [0.0000, 0.5000, 0.5000], [0.5000, 0.0000, 0.0000], [0.5000, 0.5000, 0.0000], [0.0345, 0.7500, 0.3967], [0.2018, 0.5533, 0.8033], [0.2018, 0.9467, 0.8033], [0.2982, 0.0533, 0.3033], [0.2982, 0.4467, 0.3033], [0.4655, 0.2500, 0.8967], [0.5345, 0.7500, 0.1033], [0.7018, 0.5533, 0.6967], [0.7018, 0.9467, 0.6967], [0.7982, 0.0533, 0.1967], [0.7982, 0.4467, 0.1967], [0.9655, 0.2500, 0.6033]]}